VASP calculation (GGA-PBE) on a geometry-optimized Cs2RbNpBr8 structure.

## Properties
- Uncorrected energy: -45.82 eV/cell
- Crystal system: monoclinic
- Density: 3.59 Mg/m³

Cell and atoms, written as POSCAR:
```
Cs2RbNpBr8
1.0
6.565 0.000 0.000
0.000 11.069 0.000
-2.011 0.000 7.821
Cs Rb Np Br
2 1 1 8
direct
0.000 0.247 0.000
0.000 0.753 0.000
0.500 0.000 0.500
0.500 0.500 0.500
0.019 0.000 0.733
0.100 0.500 0.306
0.418 0.321 0.709
0.418 0.679 0.709
0.582 0.321 0.291
0.582 0.679 0.291
0.900 0.500 0.694
0.981 0.000 0.267
```

***

VASP calculation (GGA-PBE) on a geometry-optimized La6Pm12Er structure.

## Properties
- ΔE_f: 121 meV per atom
- Uncorrected energy: -88.84 eV/cell
- Crystal system: trigonal
- Density: 6.76 Mg/m³

Cell and atoms, written as POSCAR:
```
La6Pm12Er
1.0
6.182 3.569 5.085
-6.182 3.569 5.085
0.000 -7.138 5.085
La Pm Er
6 12 1
direct
0.199 0.766 0.594
0.234 0.406 0.801
0.406 0.801 0.234
0.594 0.199 0.766
0.766 0.594 0.199
0.801 0.234 0.406
0.033 0.938 0.280
0.062 0.720 0.967
0.139 0.479 0.314
0.280 0.033 0.938
0.314 0.139 0.479
0.479 0.314 0.139
0.521 0.686 0.861
0.686 0.861 0.521
0.720 0.967 0.062
0.861 0.521 0.686
0.938 0.280 0.033
0.967 0.062 0.720
0.500 0.500 0.500
```